Record 1
Density functional theory data (GGA-PBE) for BaPRh after structural relaxation.

a b c (Å): 4.975 4.975 4.975
angles (deg): 60.00 60.00 60.00
Element x y z (fractional)
Ba 0.250 0.250 0.250
P 0.000 0.000 0.000
Rh 0.500 0.500 0.500

Calculated values
Energy of formation from the pure elements   0.75 eV/atom
SG   F-43m, No. 216
DFT total energy   -12.4 eV for the cell shown
Size of the total moment   0.001 μB/cell

---

Record 2
Density functional theory data (GGA-PBE) for Rb2TbPuTe4 after structural relaxation.

a b c (Å): 4.578 7.947 8.922
angles (deg): 107.25 90.00 90.00
Last column: magnetic moment on the atom in μB.
Element x y z (fractional)
Rb 0.500 0.000 0.500  0.00
Rb 0.000 0.500 0.500  0.00
Tb 0.500 0.500 0.000  0.01
Pu 0.000 0.000 0.000  5.20
Te 0.500 0.236 0.199  -0.07
Te 0.500 0.764 0.801  -0.07
Te 0.000 0.270 0.800  -0.04
Te 0.000 0.730 0.200  -0.04

Calculated values
SG   P2/m, No. 10
DFT total energy   -43.4 eV for the cell shown
Formation energy without anion corrections   -1238 meV per atom
Size of the total moment   5.000 μB/cell

---

Record 3
Density functional theory data (GGA-PBE) for MgMnGaSiS after structural relaxation.

a b c (Å): 3.323 3.294 7.602
angles (deg): 90.00 90.00 90.00
Last column: magnetic moment on the atom in μB.
Element x y z (fractional)
Mg 0.000 0.000 0.972  0.00
Mn 0.000 0.000 0.329  1.93
Ga 0.500 0.000 0.576  -0.03
Si 0.500 0.500 0.268  -0.08
S 0.500 0.500 0.827  -0.02

Calculated values
SG   Pmm2, No. 25
DFT total energy   -24.7 eV for the cell shown
Excess energy over the best structure of this formula in the dataset   0.984 kcal/mol of atoms
Formation energy without anion corrections   -277 meV per atom
Size of the total moment   1.764 μB/cell

---

Record 4
Density functional theory data (GGA-PBE) for LaCe2YP4 after structural relaxation.

a b c (Å): 4.118 7.125 7.135
angles (deg): 70.56 90.00 90.00
Last column: magnetic moment on the atom in μB.
Element x y z (fractional)
La 0.500 0.500 0.000  0.01
Ce 0.000 0.000 0.000  0.55
Ce 0.500 0.000 0.500  0.40
Y 0.000 0.500 0.500  0.01
P 0.000 0.758 0.740  -0.01
P 0.000 0.242 0.260  -0.01
P 0.500 0.753 0.256  -0.01
P 0.500 0.247 0.744  -0.01

Calculated values
Energy of formation from the pure elements   -1.54 eV/atom
SG   P2/m, No. 10
DFT total energy   -57.2 eV for the cell shown
Size of the total moment   1.043 μB/cell

---

Record 5
Density functional theory data (GGA-PBE) for MnCd2Te after structural relaxation.

a b c (Å): 5.547 5.547 5.547
angles (deg): 132.93 132.93 68.76
Last column: magnetic moment on the atom in μB.
Element x y z (fractional)
Cd 0.000 0.000 0.000  -0.05
Cd 0.250 0.750 0.500  -0.05
Mn 0.500 0.500 0.000  3.85
Te 0.750 0.250 0.500  -0.05

Calculated values
SG   I-4m2, No. 119
DFT total energy   -13.2 eV for the cell shown
Formation energy without anion corrections   242 meV per atom
Size of the total moment   3.809 μB/cell

---

Record 6
Density functional theory data (GGA-PBE) for TbPr2Nd2Tm2 after structural relaxation.

a b c (Å): 5.117 6.265 8.101
angles (deg): 97.51 90.00 114.10
Element x y z (fractional)
Tb 0.000 0.000 0.000
Pr 0.571 0.142 0.720
Pr 0.429 0.858 0.280
Nd 0.144 0.288 0.428
Nd 0.856 0.712 0.572
Tm 0.715 0.430 0.140
Tm 0.285 0.570 0.860

Calculated values
Energy of formation from the pure elements   0.02 eV/atom
SG   C2/m, No. 12
DFT total energy   -32.5 eV for the cell shown
Size of the total moment   0.000 μB/cell

---

Record 7
Density functional theory data (GGA-PBE) for ScCo2AsH after structural relaxation.

a b c (Å): 3.600 5.229 6.719
angles (deg): 90.00 90.00 110.14
Element x y z (fractional)
Sc 0.446 0.892 0.750
Sc 0.554 0.108 0.250
Co 0.157 0.314 0.945
Co 0.843 0.686 0.055
Co 0.157 0.314 0.555
Co 0.843 0.686 0.445
As 0.727 0.454 0.750
As 0.273 0.546 0.250
H 0.000 0.000 0.000
H 0.000 0.000 0.500

Calculated values
SG   Cmcm, No. 63
DFT total energy   -62.6 eV for the cell shown
Size of the total moment   0.000 μB/cell

---

Record 8
Density functional theory data (GGA-PBE) for NiW2Au after structural relaxation.

a b c (Å): 3.251 3.251 5.807
angles (deg): 90.00 90.00 90.00
Element x y z (fractional)
Au 0.000 0.000 0.520
Ni 0.500 0.500 0.758
W 0.000 0.000 0.989
W 0.500 0.500 0.232

Calculated values
Energy of formation from the pure elements   0.22 eV/atom
SG   P4mm, No. 99
DFT total energy   -34.1 eV for the cell shown
Excess energy over the best structure of this formula in the dataset   1.194 kcal/mol of atoms
Size of the total moment   0.000 μB/cell

---

Record 9
Density functional theory data (GGA-PBE) for Ca2PmGa after structural relaxation.

a b c (Å): 5.319 5.336 9.952
angles (deg): 90.00 90.00 119.82
Element x y z (fractional)
Ca 0.334 0.668 0.569
Ca 0.666 0.332 0.431
Ca 0.334 0.668 0.931
Ca 0.666 0.332 0.069
Pm 0.000 0.998 0.250
Pm 0.000 0.002 0.750
Ga 0.667 0.336 0.750
Ga 0.333 0.664 0.250

Calculated values
Energy of formation from the pure elements   -0.21 eV/atom
SG   P2_1/m, No. 11
DFT total energy   -25.3 eV for the cell shown
Excess energy over the best structure of this formula in the dataset   0.000 kcal/mol of atoms
Size of the total moment   0.000 μB/cell

---

Record 10
Density functional theory data (GGA-PBE) for TlVAg2Sn after structural relaxation.

a b c (Å): 5.125 5.726 5.125
angles (deg): 90.00 90.00 90.00
Last column: magnetic moment on the atom in μB.
Element x y z (fractional)
Tl 0.000 0.500 0.000  -0.01
Sn 0.000 0.000 0.000  -0.05
Ag 0.000 0.000 0.500  -0.01
Ag 0.500 0.000 0.000  -0.01
V 0.500 0.500 0.500  -0.20

Calculated values
Energy of formation from the pure elements   1.27 eV/atom
SG   P4/mmm, No. 123
DFT total energy   -14.8 eV for the cell shown
Size of the total moment   0.233 μB/cell

---

Record 11
Density functional theory data (GGA-PBE) for Tl2InP after structural relaxation.

a b c (Å): 7.982 7.982 3.992
angles (deg): 75.50 75.50 27.50
Element x y z (fractional)
In 0.250 0.250 0.250
P 0.750 0.750 0.750
Tl 0.077 0.077 0.923
Tl 0.423 0.423 0.577

Calculated values
Energy of formation from the pure elements   0.11 eV/atom
SG   Immm, No. 71
DFT total energy   -12.4 eV for the cell shown
Excess energy over the best structure of this formula in the dataset   0.131 kcal/mol of atoms
Size of the total moment   0.000 μB/cell

---

Record 12
Density functional theory data (GGA-PBE) for Ga3CuAu after structural relaxation.

a b c (Å): 4.655 4.655 4.655
angles (deg): 90.00 90.00 90.00
Element x y z (fractional)
Au 0.500 0.500 0.500
Cu 0.000 0.000 0.000
Ga 0.000 0.500 0.000
Ga 0.000 0.000 0.500
Ga 0.500 0.000 0.000

Calculated values
Energy of formation from the pure elements   0.16 eV/atom
SG   Pm-3m, No. 221
DFT total energy   -15.6 eV for the cell shown
Excess energy over the best structure of this formula in the dataset   5.844 kcal/mol of atoms
Size of the total moment   0.000 μB/cell

---

Record 13
Density functional theory data (GGA-PBE) for HfCu after structural relaxation.

a b c (Å): 4.455 4.455 5.233
angles (deg): 90.00 90.00 120.00
Element x y z (fractional)
Hf 0.333 0.667 0.750
Hf 0.667 0.333 0.250
Cu 0.333 0.667 0.250
Cu 0.667 0.333 0.750

Calculated values
Energy of formation from the pure elements   0.73 eV/atom
SG   P6_3/mmc, No. 194
DFT total energy   -25.2 eV for the cell shown
Size of the total moment   0.000 μB/cell

---

Record 14
Density functional theory data (GGA-PBE) for La2Ce3Ru4 after structural relaxation.

a b c (Å): 6.524 8.207 8.578
angles (deg): 90.00 112.35 90.00
Element x y z (fractional)
La 0.108 0.599 0.216
La 0.892 0.401 0.784
La 0.392 0.099 0.784
La 0.608 0.901 0.216
Ce 0.000 0.000 0.000
Ce 0.500 0.500 0.000
Ce 0.547 0.750 0.595
Ce 0.953 0.250 0.405
Ce 0.453 0.250 0.405
Ce 0.047 0.750 0.595
Ru 0.707 0.750 0.914
Ru 0.793 0.250 0.086
Ru 0.293 0.250 0.086
Ru 0.207 0.750 0.914
Ru 0.206 0.918 0.412
Ru 0.794 0.082 0.588
Ru 0.294 0.418 0.588
Ru 0.706 0.582 0.412

Calculated values
Energy of formation from the pure elements   -0.29 eV/atom
SG   Cmce, No. 64
DFT total energy   -134.7 eV for the cell shown
Size of the total moment   0.000 μB/cell

---

Record 15
Density functional theory data (GGA-PBE) for TbHoCrCd after structural relaxation.

a b c (Å): 5.180 5.180 5.180
angles (deg): 60.00 60.00 60.00
Last column: magnetic moment on the atom in μB.
Element x y z (fractional)
Cr 0.750 0.750 0.750  3.51
Tb 0.500 0.500 0.500  -0.10
Ho 0.000 0.000 0.000  -0.10
Cd 0.250 0.250 0.250  -0.05

Calculated values
Energy of formation from the pure elements   0.03 eV/atom
SG   F-43m, No. 216
DFT total energy   -19.6 eV for the cell shown
Size of the total moment   3.522 μB/cell

---

Record 16
Density functional theory data (GGA-PBE) for BaCeMnS4 after structural relaxation.

a b c (Å): 6.463 6.572 8.422
angles (deg): 90.00 112.56 90.00
Last column: magnetic moment on the atom in μB.
Element x y z (fractional)
Ba 0.607 0.750 0.213  0.02
Ba 0.393 0.250 0.787  0.02
Ce 0.118 0.250 0.236  0.87
Ce 0.882 0.750 0.764  0.87
Mn 0.264 0.750 0.529  3.54
Mn 0.736 0.250 0.471  3.54
S 0.941 0.250 0.881  -0.01
S 0.413 0.750 0.827  0.03
S 0.059 0.750 0.119  -0.01
S 0.587 0.250 0.173  0.03
S 0.500 0.500 0.500  0.01
S 0.000 0.000 0.500  0.01
S 0.500 0.000 0.500  0.01
S 0.000 0.500 0.500  0.01

Calculated values
SG   Cmcm, No. 63
DFT total energy   -87.4 eV for the cell shown
Formation energy without anion corrections   -1450 meV per atom
Size of the total moment   9.800 μB/cell

---

Record 17
Density functional theory data (GGA-PBE) for GeSb2O after structural relaxation.

a b c (Å): 4.746 4.746 4.746
angles (deg): 60.00 60.00 60.00
Element x y z (fractional)
Sb 0.250 0.250 0.250
Sb 0.750 0.750 0.750
Ge 0.500 0.500 0.500
O 0.000 0.000 0.000

Calculated values
SG   Fm-3m, No. 225
DFT total energy   -17.1 eV for the cell shown
Excess energy over the best structure of this formula in the dataset   7.007 kcal/mol of atoms
Formation energy without anion corrections   179 meV per atom
Size of the total moment   0.000 μB/cell

---

Record 18
Density functional theory data (GGA-PBE) for ScGaCuRu after structural relaxation.

a b c (Å): 4.409 4.409 4.409
angles (deg): 60.00 60.00 60.00
Element x y z (fractional)
Sc 0.500 0.500 0.500
Ru 0.250 0.250 0.250
Cu 0.750 0.750 0.750
Ga 0.000 0.000 0.000

Calculated values
Energy of formation from the pure elements   -0.37 eV/atom
SG   F-43m, No. 216
DFT total energy   -24.2 eV for the cell shown
Size of the total moment   0.000 μB/cell

---

Record 19
Density functional theory data (GGA-PBE) for Y5In4Ag after structural relaxation.

a b c (Å): 3.598 3.598 20.243
angles (deg): 90.00 90.00 90.00
Element x y z (fractional)
Y 0.500 0.500 0.091
Y 0.500 0.500 0.295
Y 0.500 0.500 0.500
Y 0.500 0.500 0.705
Y 0.500 0.500 0.909
In 0.000 0.000 0.192
In 0.000 0.000 0.397
In 0.000 0.000 0.603
In 0.000 0.000 0.808
Ag 0.000 0.000 0.000

Calculated values
Energy of formation from the pure elements   -0.47 eV/atom
SG   P4/mmm, No. 123
DFT total energy   -50.9 eV for the cell shown
Size of the total moment   0.001 μB/cell

---

Record 20
Density functional theory data (GGA-PBE) for NdTmNi2 after structural relaxation.

a b c (Å): 4.248 5.468 7.086
angles (deg): 90.00 90.00 90.00
Element x y z (fractional)
Nd 0.000 0.117 0.679
Nd 0.000 0.883 0.179
Tm 0.500 0.385 0.318
Tm 0.500 0.615 0.818
Ni 0.000 0.612 0.539
Ni 0.000 0.388 0.039
Ni 0.500 0.861 0.465
Ni 0.500 0.139 0.965

Calculated values
Energy of formation from the pure elements   -0.40 eV/atom
SG   Pmc2_1, No. 26
DFT total energy   -44.8 eV for the cell shown
Excess energy over the best structure of this formula in the dataset   0.051 kcal/mol of atoms
Size of the total moment   0.000 μB/cell